1.
Material: BaHS2
Method: DFT, GGA-PBE
State: relaxed

magnetization: 11.88 μB per cell
offset from the most stable computed form: 0.941 eV/atom
VASP energy: -0.248 Ry/atom

The structure in CIF format:
```
data_BaHS2
_cell_length_a 7.371
_cell_length_b 7.371
_cell_length_c 7.371
_cell_angle_alpha 90.00
_cell_angle_beta 90.00
_cell_angle_gamma 90.00
_symmetry_space_group_name_H-M 'F m -3 m'
_symmetry_Int_Tables_number 225
_symmetry_space_group_name_Hall '-F 4 2 3'
loop_
_atom_site_label
_atom_site_type_symbol
_atom_site_fract_x
_atom_site_fract_y
_atom_site_fract_z
_atom_site_occupancy
Ba1 Ba 0.000 0.000 0.000 1
H1 H 0.000 0.000 0.500 1
S1 S 0.250 0.250 0.250 1
```



2.
Material: Ba3HS
Method: DFT, GGA-PBE
State: relaxed

magnetization: 2.61 μB per cell
offset from the most stable computed form: 0.000 eV/atom
VASP energy: -0.225 Ry/atom

The structure in CIF format:
```
data_Ba3HS
_cell_length_a 5.379
_cell_length_b 5.379
_cell_length_c 5.379
_cell_angle_alpha 90.00
_cell_angle_beta 90.00
_cell_angle_gamma 90.00
_symmetry_space_group_name_H-M 'P m -3 m'
_symmetry_Int_Tables_number 221
_symmetry_space_group_name_Hall '-P 4 2 3'
loop_
_atom_site_label
_atom_site_type_symbol
_atom_site_fract_x
_atom_site_fract_y
_atom_site_fract_z
_atom_site_occupancy
Ba1 Ba 0.000 0.000 0.500 1
H1 H 0.000 0.000 0.000 1
S1 S 0.500 0.500 0.500 1
```



3.
Material: Ba4H5S
Method: DFT, GGA-PBE
State: relaxed

magnetization: 1.91 μB per cell
VASP energy: -0.266 Ry/atom

The structure in CIF format:
```
data_Ba4H5S
_cell_length_a 16.425
_cell_length_b 4.420
_cell_length_c 7.213
_cell_angle_alpha 90.00
_cell_angle_beta 95.91
_cell_angle_gamma 90.00
_symmetry_space_group_name_H-M 'C 1 2/m 1'
_symmetry_Int_Tables_number 12
_symmetry_space_group_name_Hall '-C 2y'
loop_
_atom_site_label
_atom_site_type_symbol
_atom_site_fract_x
_atom_site_fract_y
_atom_site_fract_z
_atom_site_occupancy
Ba1 Ba 0.064 0.000 0.290 1
Ba2 Ba 0.160 0.500 0.807 1
H1 H 0.000 0.500 0.500 1
H2 H 0.097 0.000 0.657 1
H3 H 0.183 0.000 0.053 1
S1 S 0.000 0.500 0.000 1
```



4.
Material: BaHS2
Method: DFT, GGA-PBE
State: relaxed

magnetization: 3.00 μB per cell
offset from the most stable computed form: 0.161 eV/atom
VASP energy: -0.305 Ry/atom

The structure in CIF format:
```
data_BaHS2
_cell_length_a 5.0329
_cell_length_b 5.0329
_cell_length_c 17.2340
_cell_angle_alpha 90.00
_cell_angle_beta 90.00
_cell_angle_gamma 120.00
_symmetry_space_group_name_H-M 'R -3 m'
_symmetry_Int_Tables_number 166
_symmetry_space_group_name_Hall '-R 3 2"'
loop_
_atom_site_label
_atom_site_type_symbol
_atom_site_fract_x
_atom_site_fract_y
_atom_site_fract_z
_atom_site_occupancy
Ba1 Ba 0.0000 0.0000 0.0000 1
H1 H 0.0000 0.0000 0.5000 1
S1 S 0.0000 0.0000 0.4082 1
```



5.
Material: Ba9H14S2
Method: DFT, GGA-PBE
State: relaxed

magnetization: 0.00 μB per cell
VASP energy: -0.259 Ry/atom

The structure in CIF format:
```
data_Ba9H14S2
_cell_length_a 8.1531
_cell_length_b 8.1531
_cell_length_c 11.2041
_cell_angle_alpha 90.00
_cell_angle_beta 90.00
_cell_angle_gamma 120.00
_symmetry_space_group_name_H-M 'P -3'
_symmetry_Int_Tables_number 147
_symmetry_space_group_name_Hall '-P 3'
loop_
_atom_site_label
_atom_site_type_symbol
_atom_site_fract_x
_atom_site_fract_y
_atom_site_fract_z
_atom_site_occupancy
Ba1 Ba 0.0000 0.0000 0.0000 1
Ba2 Ba 0.0302 0.3258 0.3416 1
Ba3 Ba 0.3333 0.6667 0.9666 1
H1 H 0.0000 0.0000 0.2711 1
H2 H 0.0315 0.3563 0.5873 1
H3 H 0.0864 0.7482 0.8898 1
S1 S 0.3333 0.6667 0.2222 1
```



6.
Material: BaSbH2S4
Method: DFT, GGA-PBE
State: relaxed

magnetization: 0.00 μB per cell
VASP energy: -0.308 Ry/atom

The structure in CIF format:
```
data_BaSbH2S4
_cell_length_a 5.753
_cell_length_b 7.610
_cell_length_c 8.218
_cell_angle_alpha 90.00
_cell_angle_beta 90.00
_cell_angle_gamma 90.00
_symmetry_space_group_name_H-M 'I 2 2 2'
_symmetry_Int_Tables_number 23
_symmetry_space_group_name_Hall 'I 2 2'
loop_
_atom_site_label
_atom_site_type_symbol
_atom_site_fract_x
_atom_site_fract_y
_atom_site_fract_z
_atom_site_occupancy
Ba1 Ba 0.000 0.000 0.000 1
Sb1 Sb 0.000 0.000 0.500 1
H1 H 0.000 0.500 0.169 1
S1 S 0.209 0.350 0.813 1
```



7.
Material: BaScHS2
Method: DFT, GGA-PBE
State: relaxed

magnetization: 0.00 μB per cell
VASP energy: -0.410 Ry/atom

The structure in CIF format:
```
data_BaScHS2
_cell_length_a 5.083
_cell_length_b 5.083
_cell_length_c 4.164
_cell_angle_alpha 90.00
_cell_angle_beta 90.00
_cell_angle_gamma 90.00
_symmetry_space_group_name_H-M 'P 4/m m m'
_symmetry_Int_Tables_number 123
_symmetry_space_group_name_Hall '-P 4 2'
loop_
_atom_site_label
_atom_site_type_symbol
_atom_site_fract_x
_atom_site_fract_y
_atom_site_fract_z
_atom_site_occupancy
Ba1 Ba 0.000 0.000 0.000 1
Sc1 Sc 0.500 0.500 0.500 1
H1 H 0.500 0.500 0.000 1
S1 S 0.000 0.500 0.500 1
```



8.
Material: BaH2Se6S2
Method: DFT, GGA-PBE
State: relaxed

magnetization: 0.00 μB per cell
VASP energy: -0.266 Ry/atom

The structure in CIF format:
```
data_BaH2Se6S2
_cell_length_a 6.209
_cell_length_b 7.565
_cell_length_c 7.629
_cell_angle_alpha 70.20
_cell_angle_beta 67.74
_cell_angle_gamma 66.66
_symmetry_space_group_name_H-M 'P -1'
_symmetry_Int_Tables_number 2
_symmetry_space_group_name_Hall '-P 1'
loop_
_atom_site_label
_atom_site_type_symbol
_atom_site_fract_x
_atom_site_fract_y
_atom_site_fract_z
_atom_site_occupancy
Ba1 Ba 0.000 0.000 0.000 1
H1 H 0.470 0.827 0.266 1
Se1 Se 0.053 0.810 0.591 1
Se2 Se 0.434 0.189 0.944 1
Se3 Se 0.471 0.188 0.406 1
S1 S 0.276 0.618 0.815 1
```



Q: Look up the VASP energy of the seventh one.
A: -0.410 Ry/atom